A relaxed K2PuCoO4 crystal. Source: the Alexandria database, functional PBE with a Hubbard U.

Output
- total energy (eV/atom) = -7.07
- total moment (μB per cell) = 7.0
- calculated density (g/cm3) = 6.1
- Fermi-level density of states (states/eV per cell) = 4.43

Unit cell a=5.622 b=3.458 c=6.496 alpha=90.00 beta=107.17 gamma=90.00
Space group P2/m (No. 10)
Asymmetric unit:
K 0.000 0.000 0.000 (multiplicity 1)
K 0.500 0.500 0.000 (multiplicity 1)
Pu 0.000 0.500 0.500 (multiplicity 1)
Co 0.500 0.000 0.500 (multiplicity 1)
O 0.231 0.000 0.689 (multiplicity 2)
O 0.269 0.500 0.318 (multiplicity 2)